No. 1
Mg5In2PtRh2 after structural relaxation, computed with PBE.

The structure belongs to space group P4/mbm (No. 127); the cell edges are 9.7479, 9.7479 and 3.9276 Å and the angles 90.00°, 90.00° and 90.00°. The inequivalent atoms are Mg at (0.0000, 0.5000, 0.0000), Mg at (0.0736, 0.1973, 0.0000), In at (0.1723, 0.6723, 0.5000), Pt at (0.0000, 0.0000, 0.5000) and Rh at (0.1220, 0.3780, 0.5000).

The value obtained for the energy is -3.823 eV/atom. As for the mass density: 6.69 Mg/m³. Its formation energy is -0.403 eV/atom.

No. 2
Mg3In3PtRh2 after structural relaxation, computed with PBE.

The structure belongs to space group P-62m (No. 189); the cell edges are 7.6508, 7.6508 and 3.2203 Å and the angles 90.00°, 90.00° and 120.00°. The inequivalent atoms are Mg at (0.0000, 0.7209, 0.0000), In at (0.0000, 0.3847, 0.5000), Pt at (0.0000, 0.0000, 0.5000) and Rh at (0.3333, 0.6667, 0.0000).

The value obtained for the energy is -4.218 eV/atom. As for the mass density: 8.32 Mg/m³. Its formation energy is -0.469 eV/atom.

No. 3
MgInRuPt after structural relaxation, computed with PBE.

The structure belongs to space group F-43m (No. 216); the cell edges are 6.3996, 6.3996 and 6.3996 Å and the angles 90.00°, 90.00° and 90.00°. The inequivalent atoms are Mg at (0.0000, 0.0000, 0.0000), In at (0.0000, 0.0000, 0.5000), Ru at (0.2500, 0.2500, 0.7500) and Pt at (0.2500, 0.2500, 0.2500).

The value obtained for the energy is -5.268 eV/atom. As for the mass density: 11.03 Mg/m³. Its formation energy is -0.355 eV/atom.

No. 4
MgSc2InPt after structural relaxation, computed with PBE.

The structure belongs to space group P4/mmm (No. 123); the cell edges are 5.1007, 5.1007 and 5.1522 Å and the angles 90.00°, 90.00° and 90.00°. The inequivalent atoms are Mg at (0.0000, 0.0000, 0.0000), Sc at (0.0000, 0.5000, 0.5000), In at (0.5000, 0.5000, 0.0000) and Pt at (0.5000, 0.5000, 0.5000).

The value obtained for the energy is -4.834 eV/atom. As for the mass density: 5.25 Mg/m³. Its formation energy is -0.226 eV/atom.

No. 5
Sr2MgIn3Pt4 after structural relaxation, computed with PBE.

The structure belongs to space group P-4m2 (No. 115); the cell edges are 4.6259, 4.6259 and 11.0072 Å and the angles 90.00°, 90.00° and 90.00°. The inequivalent atoms are Sr at (0.0000, 0.5000, 0.2382), Mg at (0.0000, 0.0000, 0.5000), In at (0.0000, 0.5000, 0.8732), In at (0.5000, 0.5000, 0.5000), Pt at (0.0000, 0.0000, 0.0000), Pt at (0.0000, 0.5000, 0.6311) and Pt at (0.5000, 0.5000, 0.0000).

The value obtained for the energy is -4.443 eV/atom. As for the mass density: 9.34 Mg/m³. Its formation energy is -0.710 eV/atom.

No. 6
SrMg2InPt after structural relaxation, computed with PBE.

The structure belongs to space group P4/mmm (No. 123); the cell edges are 5.1066, 5.1066 and 5.2380 Å and the angles 90.00°, 90.00° and 90.00°. The inequivalent atoms are Sr at (0.0000, 0.0000, 0.0000), Mg at (0.0000, 0.5000, 0.5000), In at (0.5000, 0.5000, 0.0000) and Pt at (0.5000, 0.5000, 0.5000).

The value obtained for the energy is -3.159 eV/atom. As for the mass density: 5.42 Mg/m³. Its formation energy is -0.429 eV/atom.

No. 7
SrMgIn2Pt after structural relaxation, computed with PBE.

The structure belongs to space group P4/mmm (No. 123); the cell edges are 5.2501, 5.2501 and 5.0616 Å and the angles 90.00°, 90.00° and 90.00°. The inequivalent atoms are Sr at (0.0000, 0.0000, 0.0000), Mg at (0.5000, 0.5000, 0.0000), In at (0.0000, 0.5000, 0.5000) and Pt at (0.5000, 0.5000, 0.5000).

The value obtained for the energy is -3.360 eV/atom. As for the mass density: 6.39 Mg/m³. Its formation energy is -0.401 eV/atom.

No. 8
Sr2MgInPt after structural relaxation, computed with PBE.

The structure belongs to space group P4/mmm (No. 123); the cell edges are 5.8332, 5.8332 and 5.0960 Å and the angles 90.00°, 90.00° and 90.00°. The inequivalent atoms are Sr at (0.0000, 0.5000, 0.0000), Mg at (0.0000, 0.0000, 0.5000), In at (0.5000, 0.5000, 0.5000) and Pt at (0.0000, 0.0000, 0.0000).

The value obtained for the energy is -3.173 eV/atom. As for the mass density: 4.88 Mg/m³. Its formation energy is -0.425 eV/atom.

No. 9
TbMgInPt after structural relaxation, computed with PBE.

The structure belongs to space group F-43m (No. 216); the cell edges are 6.9819, 6.9819 and 6.9819 Å and the angles 90.00°, 90.00° and 90.00°. The inequivalent atoms are Tb at (0.0000, 0.0000, 0.0000), Mg at (0.0000, 0.0000, 0.5000), In at (0.2500, 0.2500, 0.2500) and Pt at (0.2500, 0.2500, 0.7500).

The value obtained for the energy is -4.414 eV/atom. As for the mass density: 9.62 Mg/m³. Its formation energy is -0.663 eV/atom.

No. 10
MgInTe2Pt after structural relaxation, computed with PBE.

The structure belongs to space group P4/mmm (No. 123); the cell edges are 5.5065, 5.5065 and 4.8725 Å and the angles 90.00°, 90.00° and 90.00°. The inequivalent atoms are Mg at (0.0000, 0.0000, 0.0000), In at (0.5000, 0.5000, 0.5000), Te at (0.0000, 0.5000, 0.0000) and Pt at (0.0000, 0.0000, 0.5000).

The value obtained for the energy is -3.003 eV/atom. As for the mass density: 6.62 Mg/m³. For the uncorrected formation energy, the calculation gives 0.33 eV per atom.

No. 11
MgTlIn2Pt after structural relaxation, computed with PBE.

The structure belongs to space group P4/mmm (No. 123); the cell edges are 5.1961, 5.1961 and 5.1068 Å and the angles 90.00°, 90.00° and 90.00°. The inequivalent atoms are Mg at (0.0000, 0.0000, 0.0000), Tl at (0.5000, 0.5000, 0.0000), In at (0.0000, 0.5000, 0.5000) and Pt at (0.0000, 0.0000, 0.5000).

The value obtained for the energy is -3.339 eV/atom. As for the mass density: 7.87 Mg/m³. Its formation energy is -0.243 eV/atom.

No. 12
MgInPt2W after structural relaxation, computed with PBE.

The structure belongs to space group P4/mmm (No. 123); the cell edges are 4.9106, 4.9106 and 4.8030 Å and the angles 90.00°, 90.00° and 90.00°. The inequivalent atoms are Mg at (0.0000, 0.0000, 0.0000), In at (0.0000, 0.0000, 0.5000), Pt at (0.0000, 0.5000, 0.5000) and W at (0.5000, 0.5000, 0.0000).

The value obtained for the energy is -4.353 eV/atom. As for the mass density: 10.22 Mg/m³. Its formation energy is 1.520 eV/atom.